Here is crystalline Fe2BO4 at its relaxed geometry from Alexandria. Energies are from PBE+U.

Structure (POSCAR):
```
Fe2BO4
1.0
9.514 0.000 0.000
0.000 3.189 0.000
0.000 0.000 9.513
Fe B O
8 4 16
Direct
0.100 0.250 0.183
0.118 0.250 0.568
0.382 0.750 0.068
0.400 0.750 0.683
0.600 0.250 0.317
0.618 0.250 0.932
0.882 0.750 0.432
0.900 0.750 0.817
0.170 0.250 0.870
0.330 0.750 0.370
0.670 0.250 0.630
0.830 0.750 0.130
0.007 0.250 0.386
0.028 0.250 0.872
0.243 0.250 0.743
0.245 0.250 0.999
0.255 0.750 0.499
0.257 0.750 0.243
0.472 0.750 0.372
0.493 0.750 0.886
0.507 0.250 0.114
0.528 0.250 0.628
0.743 0.250 0.757
0.745 0.250 0.501
0.755 0.750 0.001
0.757 0.750 0.257
0.972 0.750 0.128
0.993 0.750 0.614
```

Output
- Calculated total energy: -50.45 eV per formula unit
- Energy relative to the lowest polymorph listed for this composition: 0 meV per atom